1.
Here is a relaxed Zn2Pd2Pt15 crystal from Alexandria. Energies are from PBE.

```
Zn2Pd2Pt15
1.0
-5.968 -3.400 -1.096
2.720 -5.625 -3.056
0.233 -4.063 5.641
Pt Pd Zn
15 2 2
Cartesian
0.360 -7.141 -1.033 Pt
0.116 -2.031 2.820 Pt
1.360 -2.812 -1.528 Pt
-3.023 -4.155 -1.760 Pt
-3.375 -5.947 2.522 Pt
-3.866 -3.625 1.188 Pt
-1.869 -3.838 3.357 Pt
-0.882 -6.361 3.310 Pt
-2.133 -6.727 -1.821 Pt
1.076 -4.592 2.693 Pt
0.963 -7.058 1.543 Pt
-3.978 -6.030 -0.054 Pt
-2.984 -1.700 -0.548 Pt
1.877 -5.095 -0.108 Pt
-0.225 -4.871 -2.392 Pt
-1.833 -7.956 0.905 Pd
-1.182 -5.132 0.584 Pd
-0.598 -2.597 0.295 Zn
-2.417 -10.491 1.194 Zn
```

- M_tot: 0.00 μB/f.u.
- DOS at the Fermi energy: 0.92 states/eV/atom
- Total DFT energy (no corrections): -5.425 eV per atom
- Formation enthalpy at 0 K: 0.02 eV per atom

---

2.
Here is a relaxed ZnPd5Pt8 crystal from Alexandria. Energies are from PBE.

```
ZnPd5Pt8
1.0
6.677 0.076 -0.131
-2.188 6.309 0.131
-2.301 -3.152 5.419
Pt Zn Pd
8 1 5
Cartesian
1.268 0.213 4.330 Pt
4.632 -1.706 4.106 Pt
4.147 0.062 2.049 Pt
0.843 3.074 0.997 Pt
-0.984 4.932 0.103 Pt
0.243 0.360 1.776 Pt
0.485 2.879 4.854 Pt
-1.882 3.117 3.464 Pt
-1.151 0.809 4.097 Zn
2.413 2.020 2.857 Pd
2.188 -1.538 2.644 Pd
3.272 4.255 1.439 Pd
2.584 1.168 0.213 Pd
5.085 2.249 0.780 Pd
```

- M_tot: 0.00 μB/f.u.
- DOS at the Fermi energy: 1.58 states/eV/atom
- Total DFT energy (no corrections): -5.283 eV per atom
- Formation enthalpy at 0 K: 0.11 eV per atom

---

3.
Here is a relaxed Zn3Pd12Pt crystal from Alexandria. Energies are from PBE.

```
Zn3Pd12Pt
1.0
-3.046 2.000 -1.429
0.130 -2.141 -3.274
-9.883 -10.450 6.441
Pd Zn Pt
12 3 1
Cartesian
-6.399 -5.296 0.869 Pd
-7.693 -5.524 3.306 Pd
-3.648 -4.997 0.783 Pd
-8.856 -7.894 2.470 Pd
-6.105 -7.594 2.384 Pd
-2.789 -0.339 0.111 Pd
-3.942 -2.698 -0.732 Pd
-1.458 -0.070 -2.351 Pd
-1.201 -2.409 -0.812 Pd
-10.140 -8.112 4.901 Pd
-5.236 -2.926 1.705 Pd
-8.552 -10.182 3.979 Pd
-7.391 -7.815 4.816 Zn
-4.941 -5.225 3.220 Zn
-2.492 -2.635 1.624 Zn
0.000 0.000 0.000 Pt
```

- M_tot: 0.00 μB/f.u.
- DOS at the Fermi energy: 1.64 states/eV/atom
- Total DFT energy (no corrections): -4.745 eV per atom
- Formation enthalpy at 0 K: -0.23 eV per atom

---

4.
Here is a relaxed Zn3Pd2Pt8 crystal from Alexandria. Energies are from PBE.

```
Zn3Pd2Pt8
1.0
7.806 0.000 0.731
0.000 8.472 0.000
-2.523 -4.236 2.890
Pd Pt Zn
2 8 3
Cartesian
3.639 4.236 1.835 Pd
1.644 0.000 1.786 Pd
5.152 2.177 0.955 Pt
6.689 0.000 1.718 Pt
4.137 0.000 2.806 Pt
5.152 6.294 0.955 Pt
0.131 -2.058 2.667 Pt
0.131 2.058 2.667 Pt
-1.406 4.236 1.903 Pt
1.146 4.236 0.816 Pt
0.000 6.400 0.000 Zn
3.903 0.000 0.366 Zn
0.000 2.072 0.000 Zn
```

- M_tot: 0.00 μB/f.u.
- DOS at the Fermi energy: 1.02 states/eV/atom
- Total DFT energy (no corrections): -4.956 eV per atom
- Formation enthalpy at 0 K: -0.15 eV per atom

---

5.
Here is a relaxed ZnPdPt crystal from Alexandria. Energies are from PBE.

```
ZnPdPt
1.0
-2.353 3.955 -0.815
-2.318 -1.134 1.187
2.349 1.625 6.142
Pd Pt Zn
2 2 2
Cartesian
1.121 2.827 4.891 Pd
0.246 0.668 1.119 Pd
-2.084 2.081 1.318 Pt
-0.615 4.084 2.702 Pt
-1.162 4.317 5.256 Zn
-0.648 1.453 3.524 Zn
```

- Energy above the most stable polymorph in this dataset: 0.0 meV per atom
- M_tot: 0.00 μB/f.u.
- DOS at the Fermi energy: 0.45 states/eV/atom
- Total DFT energy (no corrections): -4.597 eV per atom
- Formation enthalpy at 0 K: -0.43 eV per atom

---

6.
Here is a relaxed Zn4Pd3Pt crystal from Alexandria. Energies are from PBE.

```
Zn4Pd3Pt
1.0
2.934 0.000 0.000
0.000 4.436 0.000
0.000 0.000 8.904
Zn Pd Pt
4 3 1
Cartesian
0.000 0.000 0.000 Zn
0.000 2.218 6.677 Zn
0.000 2.218 2.227 Zn
0.000 0.000 4.452 Zn
1.467 0.000 6.657 Pd
1.467 2.218 4.452 Pd
1.467 0.000 2.247 Pd
1.467 2.218 0.000 Pt
```

- M_tot: 0.00 μB/f.u.
- DOS at the Fermi energy: 0.43 states/eV/atom
- Total DFT energy (no corrections): -3.891 eV per atom
- Formation enthalpy at 0 K: -0.55 eV per atom

---

7.
Here is a relaxed Zn3Pd4Pt2 crystal from Alexandria. Energies are from PBE.

```
Zn3Pd4Pt2
1.0
5.814 -0.378 1.027
-0.017 7.298 1.335
1.109 0.627 6.648
Pd Pt Zn
8 4 6
Cartesian
3.957 3.764 3.178 Pd
4.997 5.568 5.087 Pd
3.449 1.039 6.078 Pd
3.457 6.509 2.933 Pd
6.617 1.636 7.513 Pd
2.950 3.784 5.833 Pd
0.290 5.911 1.498 Pd
1.909 1.980 3.923 Pd
0.742 3.161 1.755 Pt
4.514 0.991 3.522 Pt
6.164 4.386 7.256 Pt
2.393 6.557 5.488 Pt
5.331 2.768 5.306 Zn
3.137 2.032 1.382 Zn
5.822 7.172 7.063 Zn
3.770 5.516 7.629 Zn
1.576 4.780 3.705 Zn
1.084 0.375 1.948 Zn
```

- M_tot: 0.00 μB/f.u.
- DOS at the Fermi energy: 0.51 states/eV/atom
- Total DFT energy (no corrections): -4.461 eV per atom
- Formation enthalpy at 0 K: -0.39 eV per atom

---

8.
Here is a relaxed ZnPd2Pt3 crystal from Alexandria. Energies are from PBE.

```
ZnPd2Pt3
1.0
-4.188 3.041 -2.024
-3.114 -2.651 2.514
2.655 6.044 3.692
Pt Zn Pd
6 2 4
Cartesian
-1.624 2.365 1.227 Pt
-3.023 4.068 2.955 Pt
-4.271 1.825 1.958 Pt
-3.723 3.897 0.228 Pt
-0.376 4.608 2.224 Pt
-0.923 2.536 3.953 Pt
-2.167 0.259 2.934 Zn
-2.479 6.175 1.248 Zn
-3.348 6.722 3.801 Pd
-3.899 -0.836 1.152 Pd
-1.299 -0.289 0.381 Pd
-0.748 7.269 3.030 Pd
```

- Energy above the most stable polymorph in this dataset: 43.9 meV per atom
- M_tot: 0.00 μB/f.u.
- DOS at the Fermi energy: 1.58 states/eV/atom
- Total DFT energy (no corrections): -5.156 eV per atom
- Formation enthalpy at 0 K: -0.19 eV per atom

---

9.
Here is a relaxed ZnPd5Pt2 crystal from Alexandria. Energies are from PBE.

```
ZnPd5Pt2
1.0
3.927 0.000 0.000
0.000 5.570 0.000
0.000 0.000 11.142
Pt Pd Zn
4 10 2
Cartesian
1.964 4.103 4.158 Pt
1.964 1.467 6.984 Pt
1.964 4.252 9.728 Pt
1.964 1.318 1.413 Pt
1.964 4.092 1.348 Pd
1.964 4.263 6.918 Pd
0.000 5.477 2.835 Pd
0.000 0.093 8.307 Pd
1.964 1.307 4.223 Pd
1.964 1.478 9.794 Pd
0.000 2.692 2.736 Pd
0.000 2.878 8.406 Pd
0.000 0.000 0.000 Pd
0.000 2.785 5.571 Pd
0.000 0.000 5.571 Zn
0.000 2.785 0.000 Zn
```

- M_tot: 0.00 μB/f.u.
- DOS at the Fermi energy: 1.51 states/eV/atom
- Total DFT energy (no corrections): -5.090 eV per atom
- Formation enthalpy at 0 K: -0.17 eV per atom

---

10.
Here is a relaxed ZnPd2Pt3 crystal from Alexandria. Energies are from PBE.

```
ZnPd2Pt3
1.0
4.819 0.000 -0.024
2.410 4.175 -0.012
1.656 0.000 9.075
Pd Pt Zn
4 6 2
Cartesian
0.000 0.000 0.000 Pd
5.647 1.397 4.513 Pd
3.237 0.000 4.525 Pd
3.237 2.778 4.525 Pd
1.638 0.000 2.196 Pt
4.023 1.405 2.183 Pt
6.433 2.770 2.171 Pt
2.452 1.405 6.867 Pt
4.861 2.770 6.855 Pt
4.837 0.000 6.854 Pt
2.410 1.395 -0.012 Zn
4.819 2.780 -0.024 Zn
```

- Energy above the most stable polymorph in this dataset: 0.0 meV per atom
- M_tot: 0.00 μB/f.u.
- DOS at the Fermi energy: 1.19 states/eV/atom
- Total DFT energy (no corrections): -5.200 eV per atom
- Formation enthalpy at 0 K: -0.24 eV per atom

---

11.
Here is a relaxed ZnPd4Pt crystal from Alexandria. Energies are from PBE.

```
ZnPd4Pt
1.0
4.225 -0.977 0.000
-2.387 8.895 0.000
-0.919 -3.959 5.260
Zn Pd Pt
2 8 2
Cartesian
1.056 -0.244 3.429 Zn
-0.137 4.203 1.830 Zn
-0.743 1.598 1.827 Pd
1.663 2.361 3.433 Pd
2.856 -2.087 1.827 Pd
-0.751 1.548 4.501 Pd
-1.937 6.046 3.433 Pd
2.281 5.018 0.759 Pd
-1.362 -1.059 4.501 Pd
1.670 2.411 0.759 Pd
1.056 -0.244 0.791 Pt
-0.137 4.203 4.469 Pt
```

- Energy above the most stable polymorph in this dataset: 0.0 meV per atom
- M_tot: 0.00 μB/f.u.
- DOS at the Fermi energy: 1.20 states/eV/atom
- Total DFT energy (no corrections): -4.836 eV per atom
- Formation enthalpy at 0 K: -0.15 eV per atom

---

12.
Here is a relaxed ZnPdPt crystal from Alexandria. Energies are from PBE.

```
ZnPdPt
1.0
-3.112 1.556 3.149
1.874 -0.487 2.093
7.085 11.245 -3.726
Pd Pt Zn
4 4 4
Cartesian
2.861 7.645 1.160 Pd
5.047 11.323 0.059 Pd
-1.618 2.266 1.976 Pd
0.567 5.944 0.876 Pd
3.487 7.088 -1.473 Pt
0.882 1.221 1.437 Pt
1.263 3.424 -0.334 Pt
5.742 8.803 -1.150 Pt
3.156 9.627 -0.585 Zn
3.161 5.128 0.306 Zn
0.551 3.760 2.325 Zn
5.766 10.994 -2.604 Zn
```

- Energy above the most stable polymorph in this dataset: 10.4 meV per atom
- M_tot: 0.00 μB/f.u.
- DOS at the Fermi energy: 0.55 states/eV/atom
- Total DFT energy (no corrections): -4.587 eV per atom
- Formation enthalpy at 0 K: -0.42 eV per atom

---

13.
Here is a relaxed ZnPdPt3 crystal from Alexandria. Energies are from PBE.

```
ZnPdPt3
1.0
6.824 0.000 0.000
0.000 6.632 0.000
0.000 0.000 7.094
Pt Pd Zn
12 4 4
Cartesian
2.529 0.316 2.541 Pt
4.295 6.317 4.552 Pt
2.529 3.001 2.541 Pt
1.005 4.974 1.458 Pt
0.883 3.632 6.088 Pt
5.819 1.658 5.636 Pt
2.407 1.658 5.005 Pt
4.417 4.974 2.089 Pt
5.941 0.316 1.005 Pt
0.883 6.317 6.088 Pt
4.295 3.632 4.552 Pt
5.941 3.001 1.005 Pt
3.412 3.316 0.000 Pd
0.000 3.316 3.547 Pd
0.000 0.000 3.547 Pd
3.412 0.000 0.000 Pd
1.389 1.658 0.634 Zn
5.436 4.974 6.460 Zn
4.801 1.658 2.913 Zn
2.024 4.974 4.181 Zn
```

- Energy above the most stable polymorph in this dataset: 107.3 meV per atom
- M_tot: 0.00 μB/f.u.
- DOS at the Fermi energy: 1.21 states/eV/atom
- Total DFT energy (no corrections): -5.015 eV per atom
- Formation enthalpy at 0 K: -0.10 eV per atom

---

14.
Here is a relaxed Zn7PdPt2 crystal from Alexandria. Energies are from PBE.

```
Zn7PdPt2
1.0
-4.254 -0.080 -0.426
1.969 -2.976 2.356
-0.960 6.047 8.440
Zn Pt Pd
7 2 1
Cartesian
-2.748 2.537 5.501 Zn
-0.713 4.494 6.273 Zn
-0.253 1.597 2.229 Zn
-0.530 0.668 5.168 Zn
-1.024 3.776 9.505 Zn
-2.285 -0.383 1.425 Zn
-2.997 4.106 7.692 Zn
-2.516 1.074 3.460 Pt
-0.777 2.220 7.334 Pt
-0.005 0.030 0.043 Pd
```

- M_tot: 0.00 μB/f.u.
- DOS at the Fermi energy: 0.38 states/eV/atom
- Total DFT energy (no corrections): -2.942 eV per atom
- Formation enthalpy at 0 K: -0.32 eV per atom

---

15.
Here is a relaxed Zn7Pd3Pt crystal from Alexandria. Energies are from PBE.

```
Zn7Pd3Pt
1.0
2.815 0.000 0.000
-1.408 14.070 0.000
0.000 0.000 10.426
Pt Zn Pd
2 14 6
Cartesian
1.408 12.027 2.607 Pt
0.000 2.043 7.820 Pt
1.408 3.587 9.537 Zn
0.000 10.482 4.324 Zn
1.408 0.283 9.167 Zn
0.000 7.663 0.898 Zn
0.000 13.787 1.259 Zn
1.408 0.283 6.472 Zn
0.000 13.787 3.954 Zn
1.408 2.277 2.607 Zn
0.000 11.793 7.820 Zn
1.408 6.407 9.528 Zn
0.000 7.663 4.315 Zn
1.408 6.407 6.112 Zn
1.408 3.587 6.102 Zn
0.000 10.482 0.889 Zn
1.408 9.005 2.607 Pd
0.000 5.064 7.820 Pd
0.000 1.861 0.466 Pd
1.408 12.209 5.680 Pd
0.000 1.861 4.747 Pd
1.408 12.209 9.960 Pd
```

- M_tot: 0.00 μB/f.u.
- DOS at the Fermi energy: 0.28 states/eV/atom
- Total DFT energy (no corrections): -3.081 eV per atom
- Formation enthalpy at 0 K: -0.31 eV per atom

---

16.
Here is a relaxed Zn8Pd3Pt crystal from Alexandria. Energies are from PBE.

```
Zn8Pd3Pt
1.0
7.314 0.000 -0.741
-4.633 4.216 3.913
-1.951 0.000 7.085
Zn Pt Pd
8 1 3
Cartesian
0.168 0.000 2.575 Zn
1.535 2.112 4.140 Zn
2.509 0.000 0.595 Zn
2.854 0.000 5.748 Zn
5.195 0.000 3.769 Zn
-3.098 2.105 8.053 Zn
-0.804 2.105 6.116 Zn
3.829 2.112 2.203 Zn
0.000 0.000 0.000 Pt
1.706 2.107 6.714 Pd
2.681 0.000 3.172 Pd
-0.975 2.109 3.543 Pd
```

- M_tot: 0.00 μB/f.u.
- DOS at the Fermi energy: 0.30 states/eV/atom
- Total DFT energy (no corrections): -2.921 eV per atom
- Formation enthalpy at 0 K: -0.27 eV per atom

---

17.
Here is a relaxed ZnPd5Pt crystal from Alexandria. Energies are from PBE.

```
ZnPd5Pt
1.0
-4.617 1.493 2.137
-4.585 -2.578 -0.666
0.579 -5.513 8.014
Pd Pt Zn
10 2 2
Cartesian
-5.381 -5.917 8.631 Pd
-6.914 -1.891 2.583 Pd
-1.999 -2.030 2.841 Pd
-4.464 -0.961 3.401 Pd
-6.625 -4.569 6.644 Pd
-4.160 -5.638 6.085 Pd
-5.670 -3.252 4.561 Pd
-3.243 -0.682 0.854 Pd
-2.954 -3.346 4.925 Pd
-1.710 -4.708 6.902 Pd
0.000 0.000 0.000 Pt
0.289 -2.757 4.007 Pt
-4.176 -3.623 7.473 Zn
-4.448 -2.976 2.013 Zn
```

- Energy above the most stable polymorph in this dataset: 46.1 meV per atom
- M_tot: 0.00 μB/f.u.
- DOS at the Fermi energy: 1.52 states/eV/atom
- Total DFT energy (no corrections): -4.780 eV per atom
- Formation enthalpy at 0 K: -0.03 eV per atom

---

18.
Here is a relaxed Zn2Pd4Pt crystal from Alexandria. Energies are from PBE.

```
Zn2Pd4Pt
1.0
9.034 0.000 0.000
0.000 3.665 -3.452
0.000 -0.793 7.308
Pd Zn Pt
8 4 2
Cartesian
1.237 2.008 1.581 Pd
5.754 2.697 0.550 Pd
1.565 1.950 -1.308 Pd
7.797 0.864 2.276 Pd
7.469 0.922 5.165 Pd
6.082 2.755 3.439 Pd
2.952 0.118 0.418 Pd
3.280 0.175 3.306 Pd
5.384 0.530 1.911 Zn
8.166 2.363 0.186 Zn
3.649 2.342 1.945 Zn
0.867 0.509 3.671 Zn
0.000 0.000 0.000 Pt
4.517 1.832 -1.726 Pt
```

- Energy above the most stable polymorph in this dataset: 20.6 meV per atom
- M_tot: 0.00 μB/f.u.
- DOS at the Fermi energy: 0.43 states/eV/atom
- Total DFT energy (no corrections): -4.413 eV per atom
- Formation enthalpy at 0 K: -0.22 eV per atom

---

19.
Here is a relaxed Zn2PdPt crystal from Alexandria. Energies are from PBE.

```
Zn2PdPt
1.0
5.678 0.000 0.000
0.000 5.678 0.000
2.839 2.839 5.629
Pd Zn Pt
2 4 2
Cartesian
2.839 5.678 2.814 Pd
2.839 2.839 0.000 Pd
4.288 1.419 1.407 Zn
1.390 4.258 1.407 Zn
4.258 4.229 4.222 Zn
7.097 7.127 4.222 Zn
5.678 2.839 2.814 Pt
0.000 0.000 0.000 Pt
```

- Energy above the most stable polymorph in this dataset: 905.9 meV per atom
- M_tot: 0.00 μB/f.u.
- DOS at the Fermi energy: 0.27 states/eV/atom
- Total DFT energy (no corrections): -3.110 eV per atom
- Formation enthalpy at 0 K: 0.34 eV per atom